The following is a PBE+U calculation of a relaxed SrEuDyFeO6 crystal, from Alexandria via LeMat-Bulk.

The structure belongs to space group F-43m (No. 216); the cell edges are 8.160, 8.160 and 8.160 Å and the angles 90.00°, 90.00° and 90.00°. The inequivalent atoms are Sr at (0.000, 0.000, 0.000), Eu at (0.000, 0.000, 0.500), Dy at (0.250, 0.250, 0.750), Fe at (0.250, 0.250, 0.250) and O at (0.016, 0.250, 0.250).

The calculation puts the total energy at -302.50 eV per cell. As for the crystal system: cubic.